# GGA+U LiGaW2O8, optimized geometry
# **DFT total energy**: -165.68 eV/cell
data_LiGaW2O8
_space_group_name_H-M_alt 'P 1'
_space_group_IT_number 1
_space_group_name_Hall 'P 1'
_cell_length_a 9.460
_cell_length_b 5.735
_cell_length_c 5.011
_cell_angle_alpha 90.00
_cell_angle_beta 91.10
_cell_angle_gamma 90.00
loop_
_atom_site_label
_atom_site_type_symbol
_atom_site_fract_x
_atom_site_fract_y
_atom_site_fract_z
Li1 Li 0.000 0.152 0.250
Li2 Li 0.000 0.848 0.750
Ga1 Ga 0.500 0.162 0.250
Ga2 Ga 0.500 0.838 0.750
W1 W 0.251 0.323 0.740
W2 W 0.251 0.677 0.240
W3 W 0.749 0.323 0.760
W4 W 0.749 0.677 0.260
O1 O 0.128 0.122 0.602
O2 O 0.128 0.878 0.102
O3 O 0.154 0.399 0.059
O4 O 0.154 0.601 0.559
O5 O 0.370 0.379 0.422
O6 O 0.370 0.621 0.922
O7 O 0.387 0.119 0.910
O8 O 0.387 0.881 0.410
O9 O 0.613 0.119 0.590
O10 O 0.613 0.881 0.090
O11 O 0.630 0.379 0.078
O12 O 0.630 0.621 0.578
O13 O 0.846 0.399 0.441
O14 O 0.846 0.601 0.941
O15 O 0.872 0.122 0.898
O16 O 0.872 0.878 0.398